Material: MgCrPt
Method: DFT, PBE-GGA
State: optimized geometry

Cell and atoms, written as POSCAR:
```
MgCrPt
1.0
4.471 0.000 0.000
-2.236 3.872 0.000
0.000 0.000 5.588
Mg Cr Pt
2 2 2
direct
0.333 0.667 0.127
0.667 0.333 0.873
0.000 0.000 0.335
0.000 0.000 0.665
0.333 0.667 0.642
0.667 0.333 0.358
```

Its final energy is -5.957 eV/atom. For the density of states at the Fermi level, the calculation gives 0.470 states/eV per atom. Its magnetization is 0.000 μB/atom. As for the crystal system: trigonal.

=====

Material: Mg2CrRuPt
Method: DFT, PBE-GGA
State: optimized geometry

Cell and atoms, written as POSCAR:
```
Mg2CrRuPt
1.0
4.806 0.000 0.000
0.000 4.806 0.000
0.000 0.000 4.243
Mg Cr Ru Pt
2 1 1 1
direct
0.000 0.500 0.000
0.500 0.000 0.000
0.000 0.000 0.000
0.000 0.000 0.500
0.500 0.500 0.500
```

Its final energy is -4.730 eV/atom. For the density of states at the Fermi level, the calculation gives 0.566 states/eV per atom. Its magnetization is 0.523 μB/atom. As for the crystal system: tetragonal.

=====

Material: MgCr2SiPt
Method: DFT, PBE-GGA
State: optimized geometry

Cell and atoms, written as POSCAR:
```
MgCr2SiPt
1.0
4.850 0.000 0.000
0.000 4.850 0.000
0.000 0.000 4.835
Mg Cr Si Pt
1 2 1 1
direct
0.000 0.000 0.000
0.000 0.500 0.500
0.500 0.000 0.500
0.500 0.500 0.000
0.000 0.000 0.500
```

The value obtained for the energy relative to the elements, uncorrected is 0.847 eV per atom. For the density of states at the Fermi level, the calculation gives 0.961 states/eV per atom. Its magnetization is 1.509 μB/atom. As for the crystal system: tetragonal.

=====

Material: MgTl2CrPt
Method: DFT, PBE-GGA
State: optimized geometry

Cell and atoms, written as POSCAR:
```
MgTl2CrPt
1.0
5.371 0.000 0.000
0.000 5.371 0.000
0.000 0.000 4.782
Mg Tl Cr Pt
1 2 1 1
direct
0.000 0.000 0.000
0.000 0.500 0.000
0.500 0.000 0.000
0.500 0.500 0.500
0.000 0.000 0.500
```

Its final energy is -3.605 eV/atom. For the density of states at the Fermi level, the calculation gives 0.565 states/eV per atom. Its magnetization is 0.965 μB/atom. As for the crystal system: tetragonal.

=====

Material: MgVCr2Pt
Method: DFT, PBE-GGA
State: optimized geometry

Cell and atoms, written as POSCAR:
```
MgVCr2Pt
1.0
4.838 0.000 0.000
0.000 4.838 0.000
0.000 0.000 4.799
Mg V Cr Pt
1 1 2 1
direct
0.000 0.000 0.000
0.500 0.500 0.000
0.000 0.500 0.500
0.500 0.000 0.500
0.000 0.000 0.500
```

Its final energy is -5.966 eV/atom. For the density of states at the Fermi level, the calculation gives 2.332 states/eV per atom. Its magnetization is 1.557 μB/atom. As for the crystal system: tetragonal.

=====

Material: Mg2ZnCrPt
Method: DFT, PBE-GGA
State: optimized geometry

Cell and atoms, written as POSCAR:
```
Mg2ZnCrPt
1.0
5.119 0.000 0.000
0.000 5.119 0.000
0.000 0.000 4.549
Mg Zn Cr Pt
2 1 1 1
direct
0.000 0.500 0.000
0.500 0.000 0.000
0.000 0.000 0.500
0.500 0.500 0.000
0.500 0.500 0.500
```

Its final energy is -3.307 eV/atom. For the density of states at the Fermi level, the calculation gives 0.645 states/eV per atom. Its magnetization is 0.624 μB/atom. As for the crystal system: tetragonal.